The following is a DFT calculation (PBE) of CaSi2Sb after structural relaxation.

POSCAR file:
```
CaSi2Sb
1.0
-1.597 -0.811 -2.715
2.345 -2.126 -0.745
-4.140 -6.051 4.242
Si Sb Ca
2 1 1
Direct
0.000 0.000 0.072
0.500 0.500 0.210
0.500 0.500 0.753
0.000 0.000 0.465
```

Results
The calculation puts the mass density at 4.0 g cm⁻³. The value obtained for the calculated volume is 89.6 Å³/cell. Its total magnetization is 0.00 μB/cell. The value obtained for the formation energy (no corrections) is 5.1 kJ per mole of atoms.


The following is a DFT calculation (PBE) of La4CdSn12 after structural relaxation.

POSCAR file:
```
La4CdSn12
1.0
8.045 0.000 -2.844
-4.022 6.967 -2.844
0.000 0.000 8.533
Sn La Cd
12 4 1
Direct
0.250 0.750 0.500
0.250 0.500 0.750
0.500 0.750 0.250
0.295 0.295 0.000
0.000 0.295 0.295
0.295 0.000 0.295
0.000 0.705 0.705
0.750 0.250 0.500
0.750 0.500 0.250
0.500 0.250 0.750
0.705 0.705 0.000
0.705 0.000 0.705
0.000 0.500 0.000
0.000 0.000 0.500
0.500 0.000 0.000
0.500 0.500 0.500
0.000 0.000 0.000
```

Results
The calculation puts the mass density at 7.3 g cm⁻³. The value obtained for the calculated volume is 478.2 Å³/cell. As for the calculated formation energy: -7.860 eV per formula unit. Its total magnetization is 0.00 μB/cell.


The following is a DFT calculation (PBE) of Dy3YGa8 after structural relaxation.

POSCAR file:
```
Dy3YGa8
1.0
-5.165 1.483 1.109
-3.578 0.750 -4.092
-5.317 -7.998 -0.495
Dy Ga Y
3 8 1
Direct
0.499 0.499 0.502
0.999 0.999 0.002
0.376 0.376 0.873
0.937 0.437 0.688
0.687 0.687 0.938
0.438 0.938 0.187
0.937 0.937 0.688
0.188 0.188 0.437
0.437 0.937 0.688
0.438 0.438 0.187
0.938 0.438 0.187
0.876 0.876 0.373
```

Results
The calculation puts the mass density at 8.0 g cm⁻³. The value obtained for the calculated volume is 236.8 Å³/cell. As for the calculated formation energy: -6.732 eV per formula unit. Its total magnetization is 0.00 μB/cell.


The following is a DFT calculation (PBE) of PbC after structural relaxation.

POSCAR file:
```
PbC
1.0
1.448 -2.508 0.000
1.448 2.508 0.000
0.000 0.000 25.025
Pb C
4 4
Direct
0.667 0.333 0.581
0.667 0.333 0.919
0.333 0.667 0.419
0.333 0.667 0.081
0.000 0.000 0.750
0.667 0.333 0.250
0.333 0.667 0.750
0.000 0.000 0.250
```

Results
The calculation puts the mass density at 8.0 g cm⁻³. The polymorph energy (0 for the lowest one) is 404 meV/atom. The value obtained for the calculated volume is 181.7 Å³/cell. As for the calculated formation energy: 2.513 eV per formula unit. Its total magnetization is 0.00 μB/cell.


- The lowest calculated volume belongs to which entry?
  CaSi2Sb